(1)
The following is a GGA-PBE calculation of an optimized crystal structure of Y2Be2Hg, from Alexandria via LeMat-Bulk.

Cell lengths 6.951, 6.951, 4.144 Å; angles 90.00, 90.00, 90.00 degrees
Positions (direct):
Y 0.175 0.675 0.500
Y 0.675 0.825 0.500
Y 0.825 0.325 0.500
Y 0.325 0.175 0.500
Be 0.387 0.887 0.000
Be 0.887 0.613 0.000
Be 0.613 0.113 0.000
Be 0.113 0.387 0.000
Hg 0.000 0.000 0.000
Hg 0.500 0.500 0.000

Results
ΔH_f (0 K): -131 meV/atom
SG: P4/mbm (127)

***

(2)
The following is a GGA-PBE calculation of an optimized crystal structure of HgAuCl2, from Alexandria via LeMat-Bulk.

Cell lengths 4.564, 7.115, 5.007 Å; angles 45.85, 90.00, 90.00 degrees
Positions (direct):
Au 0.000 0.000 0.500
Hg 0.500 0.500 0.500
Cl 0.000 0.000 0.000
Cl 0.500 0.500 0.000

Results
SG: P2/m (10)
Energy above the most stable polymorph in this dataset: 0.81 eV per formula unit

***

(3)
The following is a GGA-PBE calculation of an optimized crystal structure of Li2FeSb, from Alexandria via LeMat-Bulk.

Cell lengths 5.291, 5.291, 5.291 Å; angles 143.15, 133.45, 60.79 degrees
Positions (direct):
Fe 0.250 0.750 0.500
Li 0.004 0.004 0.000
Li 0.496 0.496 0.000
Sb 0.750 0.250 0.500

Results
SG: Immm (71)
Uncorrected energy: -4.1368 eV/atom

***

(4)
The following is a GGA-PBE calculation of an optimized crystal structure of AcLaTb2, from Alexandria via LeMat-Bulk.

Cell lengths 3.797, 3.797, 10.052 Å; angles 90.00, 90.00, 90.00 degrees
Positions (direct):
Ac 0.500 0.500 0.500
Tb 0.000 0.000 0.758
Tb 0.000 0.000 0.242
La 0.500 0.500 0.000

Results
ΔH_f (0 K): 40 meV/atom
SG: P4/mmm (123)
Energy above the most stable polymorph in this dataset: 0.02 eV per formula unit

***

(5)
The following is a GGA-PBE calculation of an optimized crystal structure of Na2PaCdO5, from Alexandria via LeMat-Bulk.

Cell lengths 4.306, 4.306, 8.361 Å; angles 90.00, 90.00, 90.00 degrees
Positions (direct):
Na 0.500 0.500 0.272
Na 0.500 0.500 0.728
Pa 0.000 0.000 0.500
Cd 0.000 0.000 0.000
O 0.000 0.500 0.500
O 0.500 0.000 0.500
O 0.000 0.000 0.756
O 0.000 0.000 0.244
O 0.500 0.500 0.000

Results
SG: P4/mmm (123)
Uncorrected energy: -6.1704 eV/atom

***

(6)
The following is a GGA-PBE calculation of an optimized crystal structure of Nd2ErGe4Pt3, from Alexandria via LeMat-Bulk.

Cell lengths 4.304, 4.304, 11.270 Å; angles 90.00, 90.00, 90.00 degrees
Positions (direct):
Nd 0.500 0.000 0.233
Nd 0.000 0.500 0.767
Er 0.500 0.500 0.500
Ge 0.500 0.500 0.000
Ge 0.000 0.000 0.000
Ge 0.500 0.000 0.661
Ge 0.000 0.500 0.339
Pt 0.000 0.000 0.500
Pt 0.500 0.000 0.882
Pt 0.000 0.500 0.118

Results
ΔH_f (0 K): -917 meV/atom
SG: P-4m2 (115)

***

(7)
The following is a GGA-PBE calculation of an optimized crystal structure of Ba3Zn2Ga3, from Alexandria via LeMat-Bulk.

Cell lengths 4.439, 6.742, 16.746 Å; angles 90.00, 90.00, 109.22 degrees
Positions (direct):
Ba 0.943 0.887 0.396
Ba 0.057 0.113 0.896
Ba 0.943 0.887 0.104
Ba 0.057 0.113 0.604
Ba 0.647 0.294 0.250
Ba 0.353 0.706 0.750
Zn 0.763 0.525 0.894
Zn 0.237 0.475 0.394
Zn 0.763 0.525 0.606
Zn 0.237 0.475 0.106
Ga 0.672 0.345 0.466
Ga 0.328 0.655 0.966
Ga 0.672 0.345 0.034
Ga 0.328 0.655 0.534
Ga 0.349 0.699 0.250
Ga 0.651 0.301 0.750

Results
ΔH_f (0 K): -316 meV/atom
SG: Cmcm (63)
Energy above the most stable polymorph in this dataset: 0.00 eV per formula unit

***

(8)
The following is a GGA-PBE calculation of an optimized crystal structure of Ac3Si4Ag2, from Alexandria via LeMat-Bulk.

Cell lengths 4.412, 6.276, 8.789 Å; angles 98.63, 90.00, 110.58 degrees
Positions (direct):
Ac 0.664 0.327 0.670
Ac 0.000 0.000 0.000
Ac 0.336 0.673 0.330
Si 0.721 0.443 0.049
Si 0.279 0.557 0.951
Si 0.944 0.888 0.604
Si 0.056 0.112 0.396
Ag 0.612 0.225 0.279
Ag 0.388 0.775 0.721

Results
SG: C2/m (12)
Uncorrected energy: -4.9778 eV/atom

***

(9)
The following is a GGA-PBE calculation of an optimized crystal structure of AlMoPS2, from Alexandria via LeMat-Bulk.

Cell lengths 4.705, 4.705, 4.764 Å; angles 90.00, 90.00, 90.00 degrees
Positions (direct):
P 0.000 0.000 0.500
Mo 0.000 0.000 0.000
S 0.000 0.500 0.000
S 0.500 0.000 0.000
Al 0.500 0.500 0.500

Results
SG: P4/mmm (123)
Energy above the most stable polymorph in this dataset: 0.00 eV per formula unit

***

(10)
The following is a GGA-PBE calculation of an optimized crystal structure of Ta2AuI, from Alexandria via LeMat-Bulk.

Cell lengths 4.148, 4.148, 10.466 Å; angles 78.57, 78.57, 90.00 degrees
Positions (direct):
I 0.500 0.500 0.000
I 0.250 0.750 0.500
Au 0.000 0.000 0.000
Au 0.750 0.250 0.500
Ta 0.641 0.125 0.250
Ta 0.109 0.625 0.250
Ta 0.375 0.359 0.750
Ta 0.875 0.891 0.750

Results
SG: I-42d (122)
Energy above the most stable polymorph in this dataset: 0.94 eV per formula unit

***

(11)
The following is a GGA-PBE calculation of an optimized crystal structure of CsHg3Au2, from Alexandria via LeMat-Bulk.

Cell lengths 4.847, 9.488, 8.958 Å; angles 113.11, 90.00, 104.80 degrees
Positions (direct):
Cs 0.844 0.688 0.919
Cs 0.156 0.312 0.081
Hg 0.322 0.643 0.577
Hg 0.980 0.959 0.656
Hg 0.608 0.217 0.706
Hg 0.392 0.783 0.294
Hg 0.020 0.041 0.344
Hg 0.678 0.357 0.423
Au 0.486 0.971 0.839
Au 0.514 0.029 0.161
Au 0.824 0.648 0.370
Au 0.176 0.352 0.630

Results
ΔH_f (0 K): -157 meV/atom
SG: C2/m (12)
Energy above the most stable polymorph in this dataset: 0.00 eV per formula unit

***

(12)
The following is a GGA-PBE calculation of an optimized crystal structure of AcAlGa, from Alexandria via LeMat-Bulk.

Cell lengths 3.625, 3.625, 6.382 Å; angles 106.50, 106.50, 90.00 degrees
Positions (direct):
Ac 0.000 0.000 0.000
Al 0.699 0.699 0.398
Ga 0.301 0.301 0.602

Results
ΔH_f (0 K): -218 meV/atom
SG: I4mm (107)
Energy above the most stable polymorph in this dataset: 0.97 eV per formula unit

***

Quick rundown of ρ, same order as above: 6.58, 6.67, 4.98, 7.84, 5.03, 10.59, 5.28, 7.45, 3.43, 13.17, 10.30, 7.00 Mg/m³